Arrangement w

## NiRhW2 (PBE)

Data for NiRhW2 after structural relaxation.

Computed properties:
Symmetry: F222 (22)
Volume: 57.8 Å³/cell

abc: 4.7009 4.6984 3.8977
angles: 65.53 65.47 49.00
Positions (direct):
Ni 0.0000 0.0000 0.0000
Rh 0.7500 0.7500 0.7500
W 0.2500 0.2500 0.2500
W 0.5000 0.5000 0.5000

---

Arrangement x

## NiRhW2 (PBE)

Data for NiRhW2 after structural relaxation.

Computed properties:
Symmetry: R-3m (166)
Volume: 58.3 Å³/cell

abc: 9.0128 9.0128 9.0128
angles: 17.58 17.58 17.58
Positions (direct):
Ni 0.0000 0.0000 0.0000
Rh 0.5000 0.5000 0.5000
W 0.2517 0.2517 0.2517
W 0.7483 0.7483 0.7483

---

Arrangement y

## NiRhW2 (PBE)

Data for NiRhW2 after structural relaxation.

Computed properties:
Symmetry: Cm (8)
Volume: 57.8 Å³/cell

abc: 4.6385 4.6385 4.8378
angles: 98.77 98.77 34.24
Positions (direct):
Ni 0.0000 0.0000 0.0000
Rh 0.2507 0.2507 0.7298
W 0.5007 0.5007 0.5048
W 0.7442 0.7442 0.2019

---

Here are the energies relative to the best structure, in meV/atom: arrangement w 97; arrangement x 120; arrangement y 0.

---

Arrangement w

## NiRh4W (PBE)

Data for NiRh4W after structural relaxation.

Computed properties:
Symmetry: F-43m (216)
Volume: 89.6 Å³/cell

abc: 5.0224 5.0224 5.0224
angles: 60.00 60.00 60.00
Positions (direct):
Ni 0.0000 0.0000 0.0000
Rh 0.1240 0.6253 0.6253
Rh 0.6253 0.1240 0.6253
Rh 0.6253 0.6253 0.1240
Rh 0.6253 0.6253 0.6253
W 0.2500 0.2500 0.2500

---

Arrangement x

## NiRh4W (PBE)

Data for NiRh4W after structural relaxation.

Computed properties:
Symmetry: C2/m (12)
Volume: 84.5 Å³/cell

abc: 5.9653 5.9653 5.4480
angles: 103.30 103.30 26.65
Positions (direct):
Ni 0.0000 0.0000 0.0000
Rh 0.3362 0.3362 0.6707
Rh 0.3431 0.3431 0.1651
Rh 0.6569 0.6569 0.8349
Rh 0.6638 0.6638 0.3293
W 0.0000 0.0000 0.5000

---

Here are the energies relative to the best structure, in meV/atom: arrangement w 420; arrangement x 0.

---

Arrangement w

## NiRhW (PBE)

Data for NiRhW after structural relaxation.

Computed properties:
Symmetry: F-43m (216)
Volume: 46.4 Å³/cell

abc: 4.0326 4.0326 4.0326
angles: 60.00 60.00 60.00
Positions (direct):
Ni 0.0000 0.0000 0.0000
Rh 0.2500 0.2500 0.2500
W 0.7500 0.7500 0.7500

---

Arrangement x

## NiRhW (PBE)

Data for NiRhW after structural relaxation.

Computed properties:
Symmetry: R3m (160)
Volume: 42.0 Å³/cell

abc: 6.6558 6.6558 6.6558
angles: 23.73 23.73 23.73
Positions (direct):
Ni 0.0000 0.0000 0.0000
Rh 0.4438 0.4438 0.4438
W 0.2243 0.2243 0.2243

---

Here are the energies relative to the best structure, in meV/atom: arrangement w 496; arrangement x 0.

---

Arrangement w

## NiRhW (PBE)

Data for NiRhW after structural relaxation.

Computed properties:
Symmetry: C2/m (12)
Volume: 84.3 Å³/cell

abc: 4.2526 4.2526 5.3100
angles: 95.85 95.85 62.11
Positions (direct):
Ni 0.1773 0.1773 0.4005
Ni 0.8227 0.8227 0.5995
Rh 0.1607 0.1607 0.8818
Rh 0.8393 0.8393 0.1182
W 0.4883 0.4883 0.7496
W 0.5117 0.5117 0.2504

---

Arrangement x

## NiRhW (PBE)

Data for NiRhW after structural relaxation.

Computed properties:
Symmetry: Imm2 (44)
Volume: 41.1 Å³/cell

abc: 4.6467 4.6467 4.6467
angles: 145.80 132.63 59.71
Positions (direct):
Ni 0.0000 0.0000 0.0000
Rh 0.6662 0.6662 0.0000
W 0.3381 0.3381 0.0000

---

Here are the energies relative to the best structure, in meV/atom: arrangement w 203; arrangement x 0.

---

Arrangement w

## NiRhW (PBE)

Data for NiRhW after structural relaxation.

Computed properties:
Symmetry: P2/m (10)
Volume: 50.6 Å³/cell

abc: 4.3395 2.7071 4.4983
angles: 90.00 106.85 90.00
Positions (direct):
Ni 0.0000 0.0000 0.0000
Rh 0.5000 0.0000 0.5000
W 0.5000 0.5000 0.0000

---

Arrangement x

## NiRhW (PBE)

Data for NiRhW after structural relaxation.

Computed properties:
Symmetry: I4mm (107)
Volume: 41.3 Å³/cell

abc: 5.8660 5.8660 5.8660
angles: 153.07 153.07 38.45
Positions (direct):
Ni 0.0000 0.0000 0.0000
Rh 0.3339 0.3339 0.0000
W 0.6601 0.6601 0.0000

---

Arrangement y

## NiRhW (PBE)

Data for NiRhW after structural relaxation.

Computed properties:
Symmetry: P3m1 (156)
Volume: 41.8 Å³/cell

abc: 4.2404 4.2404 2.6827
angles: 90.00 90.00 120.00
Positions (direct):
Ni 0.0000 0.0000 0.0000
Rh 0.6667 0.3333 0.4869
W 0.3333 0.6667 0.9759

---

Arrangement z

## NiRhW (PBE)

Data for NiRhW after structural relaxation.

Computed properties:
Symmetry: F-43m (216)
Volume: 49.3 Å³/cell

abc: 4.1150 4.1150 4.1150
angles: 60.00 60.00 60.00
Positions (direct):
Ni 0.0000 0.0000 0.0000
Rh 0.5000 0.5000 0.5000
W 0.7500 0.7500 0.7500

---

Here are the energies relative to the best structure, in meV/atom: arrangement w 690; arrangement x 0; arrangement y 49; arrangement z 522.

---

Arrangement w

## Ni2Rh2W (PBE)

Data for Ni2Rh2W after structural relaxation.

Computed properties:
Symmetry: C2/m (12)
Volume: 66.3 Å³/cell

abc: 4.5823 4.5823 5.9308
angles: 129.60 129.60 48.00
Positions (direct):
Ni 0.2025 0.2025 0.3097
Ni 0.7975 0.7975 0.6903
Rh 0.4050 0.4050 0.1067
Rh 0.5950 0.5950 0.8933
W 0.0000 0.0000 0.5000

---

Arrangement x

## Ni2Rh2W (PBE)

Data for Ni2Rh2W after structural relaxation.

Computed properties:
Symmetry: C2/m (12)
Volume: 68.3 Å³/cell

abc: 4.5075 4.5075 6.0475
angles: 103.35 103.35 34.97
Positions (direct):
Ni 0.1985 0.1985 0.3241
Ni 0.8015 0.8015 0.6759
Rh 0.1124 0.1124 0.8852
Rh 0.8876 0.8876 0.1148
W 0.5000 0.5000 0.5000

---

Arrangement y

## Ni2Rh2W (PBE)

Data for Ni2Rh2W after structural relaxation.

Computed properties:
Symmetry: P4/mbm (127)
Volume: 135.6 Å³/cell

abc: 6.9733 6.9733 2.7894
angles: 90.00 90.00 90.00
Positions (direct):
Ni 0.1669 0.3331 0.0000
Ni 0.3331 0.8331 0.0000
Ni 0.6669 0.1669 0.0000
Ni 0.8331 0.6669 0.0000
Rh 0.1315 0.6315 0.5000
Rh 0.3685 0.1315 0.5000
Rh 0.6315 0.8685 0.5000
Rh 0.8685 0.3685 0.5000
W 0.0000 0.0000 0.5000
W 0.5000 0.5000 0.5000

---

Arrangement z

## Ni2Rh2W (PBE)

Data for Ni2Rh2W after structural relaxation.

Computed properties:
Symmetry: P4/mbm (127)
Volume: 133.5 Å³/cell

abc: 6.9327 6.9327 2.7779
angles: 90.00 90.00 90.00
Positions (direct):
Ni 0.1260 0.3740 0.0000
Ni 0.3740 0.8740 0.0000
Ni 0.6260 0.1260 0.0000
Ni 0.8740 0.6260 0.0000
Rh 0.1711 0.6711 0.5000
Rh 0.3289 0.1711 0.5000
Rh 0.6711 0.8289 0.5000
Rh 0.8289 0.3289 0.5000
W 0.0000 0.0000 0.0000
W 0.5000 0.5000 0.0000

---

Here are the energies relative to the best structure, in meV/atom: arrangement w 0; arrangement x 131; arrangement y 304; arrangement z 233.

---

Arrangement w

## Ni4RhW (PBE)

Data for Ni4RhW after structural relaxation.

Computed properties:
Symmetry: P2_1/m (11)
Volume: 147.6 Å³/cell

abc: 4.4842 5.2303 6.4590
angles: 90.00 103.05 90.00
Positions (direct):
Ni 0.0000 0.0000 0.0000
Ni 0.0000 0.5000 0.0000
Ni 0.2253 0.0029 0.6767
Ni 0.2253 0.4971 0.6767
Ni 0.4889 0.7500 0.0052
Ni 0.5111 0.2500 0.9948
Ni 0.7747 0.5029 0.3233
Ni 0.7747 0.9971 0.3233
Rh 0.2698 0.2500 0.3370
Rh 0.7302 0.7500 0.6630
W 0.2747 0.7500 0.3380
W 0.7253 0.2500 0.6620

---

Arrangement x

## Ni4RhW (PBE)

Data for Ni4RhW after structural relaxation.

Computed properties:
Symmetry: F-43m (216)
Volume: 72.1 Å³/cell

abc: 4.6714 4.6714 4.6714
angles: 60.00 60.00 60.00
Positions (direct):
Ni 0.1250 0.1250 0.1250
Ni 0.1250 0.1250 0.6251
Ni 0.1250 0.6251 0.1250
Ni 0.6251 0.1250 0.1250
Rh 0.5000 0.5000 0.5000
W 0.7500 0.7500 0.7500

---

Here are the energies relative to the best structure, in meV/atom: arrangement w 26; arrangement x 0.

---

Arrangement w

## NiRh3W (PBE)

Data for NiRh3W after structural relaxation.

Computed properties:
Symmetry: Pm-3m (221)
Volume: 101.9 Å³/cell

abc: 4.6709 4.6709 4.6709
angles: 90.00 90.00 90.00
Positions (direct):
Ni 0.0000 0.0000 0.0000
Rh 0.0000 0.5000 0.5000
Rh 0.5000 0.0000 0.5000
Rh 0.5000 0.5000 0.0000
W 0.5000 0.5000 0.5000

---

Arrangement x

## NiRh3W (PBE)

Data for NiRh3W after structural relaxation.

Computed properties:
Symmetry: Pm-3m (221)
Volume: 83.5 Å³/cell

abc: 4.3701 4.3701 4.3701
angles: 90.00 90.00 90.00
Positions (direct):
Ni 0.0000 0.0000 0.0000
Rh 0.0000 0.0000 0.5000
Rh 0.0000 0.5000 0.0000
Rh 0.5000 0.0000 0.0000
W 0.5000 0.5000 0.5000

---

Here are the energies relative to the best structure, in meV/atom: arrangement w 51; arrangement x 0.

---

Arrangement w

## NiRh3W (PBE)

Data for NiRh3W after structural relaxation.

Computed properties:
Symmetry: Cmcm (63)
Volume: 144.5 Å³/cell

abc: 6.4201 6.4201 5.4694
angles: 90.00 90.00 140.15
Positions (direct):
Ni 0.1879 0.8121 0.7500
Ni 0.8121 0.1879 0.2500
Rh 0.1900 0.8100 0.2500
Rh 0.3850 0.6150 0.0055
Rh 0.3850 0.6150 0.4945
Rh 0.6150 0.3850 0.5055
Rh 0.6150 0.3850 0.9945
Rh 0.8100 0.1900 0.7500
W 0.0000 0.0000 0.0000
W 0.0000 0.0000 0.5000

---

Arrangement x

## NiRh3W (PBE)

Data for NiRh3W after structural relaxation.

Computed properties:
Symmetry: P6_3/mmc (194)
Volume: 150.7 Å³/cell

abc: 6.3189 6.3189 4.3567
angles: 90.00 90.00 120.00
Positions (direct):
Ni 0.0000 0.0000 0.0000
Ni 0.0000 0.0000 0.5000
Rh 0.1966 0.3931 0.2500
Rh 0.1966 0.8034 0.2500
Rh 0.3931 0.1966 0.7500
Rh 0.6069 0.8034 0.2500
Rh 0.8034 0.1966 0.7500
Rh 0.8034 0.6069 0.7500
W 0.3333 0.6667 0.7500
W 0.6667 0.3333 0.2500

---

Here are the energies relative to the best structure, in meV/atom: arrangement w 0; arrangement x 314.

---

Arrangement w

## NiRh2W2 (PBE)

Data for NiRh2W2 after structural relaxation.

Computed properties:
Symmetry: P4/mbm (127)
Volume: 155.4 Å³/cell

abc: 7.4892 7.4892 2.7710
angles: 90.00 90.00 90.00
Positions (direct):
Ni 0.0000 0.0000 0.0000
Ni 0.5000 0.5000 0.0000
Rh 0.1284 0.3716 0.0000
Rh 0.3716 0.8716 0.0000
Rh 0.6284 0.1284 0.0000
Rh 0.8716 0.6284 0.0000
W 0.1686 0.6686 0.5000
W 0.3314 0.1686 0.5000
W 0.6686 0.8314 0.5000
W 0.8314 0.3314 0.5000

---

Arrangement x

## NiRh2W2 (PBE)

Data for NiRh2W2 after structural relaxation.

Computed properties:
Symmetry: Cmmm (65)
Volume: 73.7 Å³/cell

abc: 9.7167 9.7167 2.7812
angles: 90.00 90.00 163.70
Positions (direct):
Ni 0.0000 0.0000 0.0000
Rh 0.1890 0.8110 0.0000
Rh 0.8110 0.1890 0.0000
W 0.4057 0.5943 0.5000
W 0.5943 0.4057 0.5000

---

Here are the energies relative to the best structure, in meV/atom: arrangement w 202; arrangement x 0.

---

Arrangement w

## Ni4Rh2W (PBE)

Data for Ni4Rh2W after structural relaxation.

Computed properties:
Symmetry: P4_2/mnm (136)
Volume: 186.5 Å³/cell

abc: 6.6063 6.6063 4.2743
angles: 90.00 90.00 90.00
Positions (direct):
Ni 0.0937 0.3575 0.0000
Ni 0.1425 0.5937 0.5000
Ni 0.3575 0.0937 0.0000
Ni 0.4063 0.8575 0.5000
Ni 0.5937 0.1425 0.5000
Ni 0.6425 0.9063 0.0000
Ni 0.8575 0.4063 0.5000
Ni 0.9063 0.6425 0.0000
Rh 0.1723 0.1723 0.5000
Rh 0.3277 0.6723 0.0000
Rh 0.6723 0.3277 0.0000
Rh 0.8277 0.8277 0.5000
W 0.0000 0.0000 0.0000
W 0.5000 0.5000 0.5000

---

Arrangement x

## Ni4Rh2W (PBE)

Data for Ni4Rh2W after structural relaxation.

Computed properties:
Symmetry: I4/mmm (139)
Volume: 97.1 Å³/cell

abc: 5.6158 5.6158 5.6158
angles: 131.56 131.56 70.92
Positions (direct):
Ni 0.0000 0.5000 0.5000
Ni 0.2500 0.7500 0.5000
Ni 0.5000 0.0000 0.5000
Ni 0.7500 0.2500 0.5000
Rh 0.1455 0.1455 0.0000
Rh 0.8545 0.8545 0.0000
W 0.5000 0.5000 0.0000

---

Here are the energies relative to the best structure, in meV/atom: arrangement w 0; arrangement x 410.